Below is an optimized crystal structure of Ca2TcTeSe, with properties calculated at the PBE level.

Results
The value obtained for the energy relative to the lowest polymorph listed for this composition is 0.0000 eV/atom. The value obtained for the volume is 28.90 Å³/atom. The calculation puts the uncorrected formation energy at -0.40 eV/atom.

abc: 5.6053 5.6053 4.5985
angles: 90.00 90.00 90.00
Last column: nearest neighbours and their distance in Å.
Fractional coordinates of all 5 atoms:
1 Ca 0.0000 0.5000 0.0000  2 Se 2.80
2 Ca 0.5000 0.0000 0.0000  2 Se 2.80
3 Te 0.5000 0.5000 0.5000  8 Ca 3.63, 4 Tc 3.96
4 Tc 0.0000 0.0000 0.5000  2 Se 2.30
5 Se 0.0000 0.0000 0.0000  2 Tc 2.30